Below is a relaxed structure of Ac2La2CoPt2, with properties calculated at the PBE level.

The structure in CIF format:
```
data_Ac2La2CoPt2
_chemical_formula_sum 'Ac4 La4 Co2 Pt4'
_symmetry_space_group_name_H-M 'C 1 2/m 1'
_symmetry_Int_Tables_number 12
_cell_length_a 14.439
_cell_length_b 4.134
_cell_length_c 8.052
_cell_angle_alpha 90.00
_cell_angle_beta 119.93
_cell_angle_gamma 90.00
loop_
_symmetry_equiv_pos_as_xyz
'x,y,z'
'-x,-y,-z'
'-x,y,-z'
'x,-y,z'
'x+1/2,y+1/2,z'
'-x+1/2,-y+1/2,-z'
'-x+1/2,y+1/2,-z'
'x+1/2,-y+1/2,z'
loop_
_atom_site_label
_atom_site_fract_x
_atom_site_fract_y
_atom_site_fract_z
Ac1 0.036 0.000 0.268
La1 0.206 0.500 0.771
Co1 0.000 0.500 0.500
Pt1 0.123 0.500 0.055
```

Properties
total moment = 0.000 μB per formula unit
D(E_F) = 0.7046 states/eV per atom
DFT total energy = -5.978 eV per atom

---

Below is a relaxed structure of Ac3CdSi4, with properties calculated at the PBE level.

The structure in CIF format:
```
data_Ac3CdSi4
_chemical_formula_sum 'Ac6 Cd2 Si8'
_symmetry_space_group_name_H-M 'I m m m'
_symmetry_Int_Tables_number 71
_symmetry_space_group_name_Hall '-I 2 2'
_cell_length_a 4.721
_cell_length_b 6.123
_cell_length_c 16.198
_cell_angle_alpha 90.00
_cell_angle_beta 90.00
_cell_angle_gamma 90.00
loop_
_atom_site_label
_atom_site_fract_x
_atom_site_fract_y
_atom_site_fract_z
Ac1 0.000 0.000 0.000
Ac2 0.000 0.500 0.188
Cd1 0.000 0.000 0.500
Si1 0.000 0.310 0.375
```

Properties
ΔE_f (raw) = -0.41 eV/atom
total moment = 0.000 μB per formula unit
D(E_F) = 0.4343 states/eV per atom
DFT total energy = -4.776 eV per atom

---

Below is a relaxed structure of LiCa2La2, with properties calculated at the PBE level.

The structure in CIF format:
```
data_LiCa2La2
_chemical_formula_sum 'Li2 Ca4 La4'
_symmetry_space_group_name_H-M 'I 4/m m m'
_symmetry_Int_Tables_number 139
_symmetry_space_group_name_Hall '-I 4 2'
_cell_length_a 4.421
_cell_length_b 4.421
_cell_length_c 20.207
_cell_angle_alpha 90.00
_cell_angle_beta 90.00
_cell_angle_gamma 90.00
loop_
_atom_site_label
_atom_site_fract_x
_atom_site_fract_y
_atom_site_fract_z
Li1 0.000 0.000 0.000
Ca1 0.000 0.000 0.408
La1 0.000 0.500 0.250
```

Properties
total moment = 0.000 μB per formula unit
energy relative to the lowest polymorph listed for this composition = 299 meV/atom
D(E_F) = 1.7645 states/eV per atom
DFT total energy = -2.822 eV per atom

---

Below is a relaxed structure of ReSiPb2, with properties calculated at the PBE level.

The structure in CIF format:
```
data_ReSiPb2
_chemical_formula_sum 'Re2 Si2 Pb4'
_symmetry_space_group_name_H-M 'I -4 m 2'
_symmetry_Int_Tables_number 119
_symmetry_space_group_name_Hall 'I -4 -2'
_cell_length_a 4.942
_cell_length_b 4.942
_cell_length_c 6.949
_cell_angle_alpha 90.00
_cell_angle_beta 90.00
_cell_angle_gamma 90.00
loop_
_atom_site_label
_atom_site_fract_x
_atom_site_fract_y
_atom_site_fract_z
Re1 0.000 0.000 0.000
Si1 0.000 0.500 0.250
Pb1 0.000 0.000 0.500
Pb2 0.000 0.500 0.750
```

Properties
ΔE_f (raw) = 1.09 eV/atom
total moment = 0.657 μB per formula unit
D(E_F) = 1.0531 states/eV per atom
DFT total energy = -5.230 eV per atom

---

Below is a relaxed structure of Y2Er3Tm8, with properties calculated at the PBE level.

The structure in CIF format:
```
data_Y2Er3Tm8
_chemical_formula_sum 'Y4 Er6 Tm16'
_symmetry_space_group_name_H-M 'C 1 2/m 1'
_symmetry_Int_Tables_number 12
_cell_length_a 14.628
_cell_length_b 9.023
_cell_length_c 6.731
_cell_angle_alpha 90.00
_cell_angle_beta 108.76
_cell_angle_gamma 90.00
loop_
_symmetry_equiv_pos_as_xyz
'x,y,z'
'-x,-y,-z'
'-x,y,-z'
'x,-y,z'
'x+1/2,y+1/2,z'
'-x+1/2,-y+1/2,-z'
'-x+1/2,y+1/2,-z'
'x+1/2,-y+1/2,z'
loop_
_atom_site_label
_atom_site_fract_x
_atom_site_fract_y
_atom_site_fract_z
Y1 0.086 0.000 0.227
Er1 0.000 0.328 0.000
Er2 0.000 0.500 0.500
Tm1 0.117 0.182 0.683
Tm2 0.190 0.500 0.394
Tm3 0.209 0.500 0.924
```

Properties
total moment = 0.000 μB per formula unit
energy relative to the lowest polymorph listed for this composition = 0 meV/atom
D(E_F) = 1.1018 states/eV per atom
DFT total energy = -4.572 eV per atom

---

Below is a relaxed structure of SrLa2Ni, with properties calculated at the PBE level.

The structure in CIF format:
```
data_SrLa2Ni
_chemical_formula_sum 'Sr1 La2 Ni1'
_symmetry_space_group_name_H-M 'P 4 m m'
_symmetry_Int_Tables_number 99
_cell_length_a 3.687
_cell_length_b 3.687
_cell_length_c 9.400
_cell_angle_alpha 90.00
_cell_angle_beta 90.00
_cell_angle_gamma 90.00
loop_
_symmetry_equiv_pos_as_xyz
'x,y,z'
'-y,x,z'
'-x,-y,z'
'y,-x,z'
'-x,y,z'
'y,x,z'
'x,-y,z'
'-y,-x,z'
loop_
_atom_site_label
_atom_site_fract_x
_atom_site_fract_y
_atom_site_fract_z
Sr1 0.000 0.000 0.000
La1 0.000 0.000 0.632
La2 0.500 0.500 0.344
Ni1 0.500 0.500 0.772
```

Properties
total moment = 0.013 μB per formula unit
energy relative to the lowest polymorph listed for this composition = 95 meV/atom
D(E_F) = 1.2479 states/eV per atom
DFT total energy = -4.343 eV per atom

---

Below is a relaxed structure of NdN, with properties calculated at the PBE level.

The structure in CIF format:
```
data_NdN
_chemical_formula_sum 'Nd1 N1'
_symmetry_space_group_name_H-M 'P m -3 m'
_symmetry_Int_Tables_number 221
_symmetry_space_group_name_Hall '-P 4 2 3'
_cell_length_a 3.130
_cell_length_b 3.130
_cell_length_c 3.130
_cell_angle_alpha 90.00
_cell_angle_beta 90.00
_cell_angle_gamma 90.00
loop_
_atom_site_label
_atom_site_fract_x
_atom_site_fract_y
_atom_site_fract_z
Nd1 0.000 0.000 0.000
N1 0.500 0.500 0.500
```

Properties
ΔE_f (raw) = -0.58 eV/atom
total moment = 0.000 μB per formula unit
D(E_F) = 0.4125 states/eV per atom
DFT total energy = -7.124 eV per atom

---

Below is a relaxed structure of Dy3PaAs4, with properties calculated at the PBE level.

The structure in CIF format:
```
data_Dy3PaAs4
_chemical_formula_sum 'Dy6 Pa2 As8'
_symmetry_space_group_name_H-M 'C m m m'
_symmetry_Int_Tables_number 65
_symmetry_space_group_name_Hall '-C 2 2'
_cell_length_a 8.205
_cell_length_b 11.605
_cell_length_c 4.115
_cell_angle_alpha 90.00
_cell_angle_beta 90.00
_cell_angle_gamma 90.00
loop_
_atom_site_label
_atom_site_fract_x
_atom_site_fract_y
_atom_site_fract_z
Dy1 0.000 0.000 0.000
Dy2 0.250 0.250 0.500
Pa1 0.000 0.500 0.000
As1 0.000 0.252 0.000
As2 0.248 0.500 0.500
```

Properties
total moment = 0.008 μB per formula unit
energy relative to the lowest polymorph listed for this composition = 4 meV/atom
D(E_F) = 0.6792 states/eV per atom
DFT total energy = -6.656 eV per atom

---

Below is a relaxed structure of Pr2Al9Ni3, with properties calculated at the PBE level.

The structure in CIF format:
```
data_Pr2Al9Ni3
_chemical_formula_sum 'Pr8 Al36 Ni12'
_symmetry_space_group_name_H-M 'C 1 2/c 1'
_symmetry_Int_Tables_number 15
_cell_length_a 13.116
_cell_length_b 7.521
_cell_length_c 10.487
_cell_angle_alpha 90.00
_cell_angle_beta 114.69
_cell_angle_gamma 90.00
loop_
_symmetry_equiv_pos_as_xyz
'x,y,z'
'-x,-y,-z'
'-x,y,-z+1/2'
'x,-y,z+1/2'
'x+1/2,y+1/2,z'
'-x+1/2,-y+1/2,-z'
'-x+1/2,y+1/2,-z+1/2'
'x+1/2,-y+1/2,z+1/2'
loop_
_atom_site_label
_atom_site_fract_x
_atom_site_fract_y
_atom_site_fract_z
Pr1 0.169 0.084 0.250
Al1 0.000 0.372 0.250
Al2 0.061 0.084 0.932
Al3 0.098 0.416 0.045
Al4 0.103 0.315 0.748
Al5 0.226 0.418 0.434
Ni1 0.084 0.246 0.500
Ni2 0.250 0.250 0.000
```

Properties
total moment = 0.000 μB per formula unit
D(E_F) = 0.3615 states/eV per atom
DFT total energy = -4.860 eV per atom

---

Below is a relaxed structure of ScCuPSe2, with properties calculated at the PBE level.

The structure in CIF format:
```
data_ScCuPSe2
_chemical_formula_sum 'Sc1 Cu1 P1 Se2'
_symmetry_space_group_name_H-M 'P 4/m m m'
_symmetry_Int_Tables_number 123
_symmetry_space_group_name_Hall '-P 4 2'
_cell_length_a 4.885
_cell_length_b 4.885
_cell_length_c 4.328
_cell_angle_alpha 90.00
_cell_angle_beta 90.00
_cell_angle_gamma 90.00
loop_
_atom_site_label
_atom_site_fract_x
_atom_site_fract_y
_atom_site_fract_z
Sc1 0.000 0.000 0.000
Cu1 0.500 0.500 0.500
P1 0.500 0.500 0.000
Se1 0.000 0.500 0.500
```

Properties
ΔE_f (raw) = -0.02 eV/atom
total moment = 0.000 μB per formula unit
D(E_F) = 0.6133 states/eV per atom
DFT total energy = -4.582 eV per atom

---

Below is a relaxed structure of CdHRhAu2, with properties calculated at the PBE level.

The structure in CIF format:
```
data_CdHRhAu2
_chemical_formula_sum 'Cd1 H1 Rh1 Au2'
_symmetry_space_group_name_H-M 'P 4/m m m'
_symmetry_Int_Tables_number 123
_symmetry_space_group_name_Hall '-P 4 2'
_cell_length_a 4.365
_cell_length_b 4.365
_cell_length_c 3.816
_cell_angle_alpha 90.00
_cell_angle_beta 90.00
_cell_angle_gamma 90.00
loop_
_atom_site_label
_atom_site_fract_x
_atom_site_fract_y
_atom_site_fract_z
Cd1 0.000 0.000 0.000
H1 0.500 0.500 0.500
Rh1 0.500 0.500 0.000
Au1 0.000 0.500 0.500
```

Properties
total moment = 0.000 μB per formula unit
D(E_F) = 0.3020 states/eV per atom
DFT total energy = -3.661 eV per atom

---

Below is a relaxed structure of U2TiSi4Ir3, with properties calculated at the PBE level.

The structure in CIF format:
```
data_U2TiSi4Ir3
_chemical_formula_sum 'U2 Ti1 Si4 Ir3'
_symmetry_space_group_name_H-M 'P -4 m 2'
_symmetry_Int_Tables_number 115
_cell_length_a 4.078
_cell_length_b 4.078
_cell_length_c 10.279
_cell_angle_alpha 90.00
_cell_angle_beta 90.00
_cell_angle_gamma 90.00
loop_
_symmetry_equiv_pos_as_xyz
'x,y,z'
'y,-x,-z'
'-x,-y,z'
'-y,x,-z'
'-x,y,z'
'-y,-x,-z'
'x,-y,z'
'y,x,-z'
loop_
_atom_site_label
_atom_site_fract_x
_atom_site_fract_y
_atom_site_fract_z
U1 0.000 0.500 0.244
Ti1 0.000 0.000 0.500
Si1 0.000 0.000 0.000
Si2 0.000 0.500 0.644
Si3 0.500 0.500 0.000
Ir1 0.000 0.500 0.875
Ir2 0.500 0.500 0.500
```

Properties
ΔE_f (raw) = -0.71 eV/atom
total moment = 3.655 μB per formula unit
D(E_F) = 1.7280 states/eV per atom
DFT total energy = -8.581 eV per atom